A relaxed FeBiI2O crystal. Source: Alexandria, functional PBE+U.

**Distance to the lowest polymorph of the same formula**: 0 meV per atom
**N(E_F)**: 4.03 states/eV per cell

Unit cell a=5.970 b=5.970 c=3.695 alpha=90.00 beta=90.00 gamma=90.00
Fractional coordinates of all 5 atoms:
Bi (0.500, 0.500, 0.500)
Fe (0.000, 0.000, 0.000)
O (0.000, 0.000, 0.500)
I (0.000, 0.500, 0.000)
I (0.500, 0.000, 0.000)